(1)
# TlZn2Os

TlZn2Os after structural relaxation (PBE, the Alexandria database).

Cell lengths 9.055, 9.055, 9.055 Å; angles 19.11, 19.11, 19.11 degrees
Each line ends with the local moment (μB).
Fractional coordinates of all 4 atoms:
Os1 0.508 0.508 0.508  0.11
Tl1 0.751 0.751 0.751  0.00
Zn1 0.992 0.992 0.992  0.00
Zn2 0.249 0.249 0.249  0.00

distance to the lowest polymorph of the same formula	176	meV per atom
space-group type	R3m (160)

***

(2)
# NbMo3W4

NbMo3W4 after structural relaxation (PBE, the Alexandria database).

Cell lengths 3.185, 4.517, 9.038 Å; angles 90.00, 90.00, 90.00 degrees
Fractional coordinates of all 8 atoms:
Nb1 0.500 0.500 0.000
Mo1 0.500 0.000 0.252
Mo2 0.500 0.500 0.500
Mo3 0.500 0.000 0.748
W1 0.000 0.000 0.500
W2 0.000 0.500 0.746
W3 0.000 0.000 0.000
W4 0.000 0.500 0.254

distance to the lowest polymorph of the same formula	0	meV per atom
space-group type	Pmmm (47)

***

(3)
# TiCr2HgGe

TiCr2HgGe after structural relaxation (PBE, the Alexandria database).

Cell lengths 4.509, 5.223, 4.509 Å; angles 90.00, 90.00, 90.00 degrees
Each line ends with the local moment (μB).
Fractional coordinates of all 5 atoms:
Cr1 0.000 0.000 0.500  2.42
Cr2 0.500 0.000 0.000  3.06
Ge1 0.500 0.500 0.500  -0.05
Hg1 0.000 0.500 0.000  -0.07
Ti1 0.000 0.000 0.000  -0.57

space-group type	P4/mmm (123)
calculated total energy	-5.1767	eV per atom

***

(4)
# LaErCoAg

LaErCoAg after structural relaxation (PBE, the Alexandria database).

Cell lengths 5.060, 5.060, 5.060 Å; angles 60.00, 60.00, 60.00 degrees
Each line ends with the local moment (μB).
Fractional coordinates of all 4 atoms:
La1 0.500 0.500 0.500  -0.06
Co1 0.750 0.750 0.750  0.84
Ag1 0.250 0.250 0.250  0.00
Er1 0.000 0.000 0.000  -0.14

space-group type	F-43m (216)
calculated total energy	-4.9685	eV per atom

***

(5)
# ThBN

ThBN after structural relaxation (PBE, the Alexandria database).

Cell lengths 4.524, 4.524, 6.318 Å; angles 108.56, 108.56, 45.79 degrees
Fractional coordinates of all 6 atoms:
B1 0.120 0.120 0.715
B2 0.633 0.633 0.593
N1 0.572 0.572 0.330
N2 0.181 0.181 0.978
Th1 0.290 0.290 0.381
Th2 0.463 0.463 0.926

E_form (uncorrected)	-0.891	eV/atom
distance to the lowest polymorph of the same formula	337	meV per atom
space-group type	C2/m (12)

***

(6)
# LiMg2ZrV

LiMg2ZrV after structural relaxation (PBE, the Alexandria database).

Cell lengths 5.642, 4.477, 5.642 Å; angles 90.00, 90.00, 90.00 degrees
Fractional coordinates of all 5 atoms:
Mg1 0.000 0.000 0.500
Mg2 0.500 0.000 0.000
Li1 0.500 0.500 0.500
Zr1 0.000 0.000 0.000
V1 0.000 0.500 0.000

space-group type	P4/mmm (123)
calculated total energy	-3.4930	eV per atom

***

(7)
# KAlMo2

KAlMo2 after structural relaxation (PBE, the Alexandria database).

Cell lengths 2.701, 5.372, 5.261 Å; angles 90.00, 90.00, 90.00 degrees
Each line ends with the local moment (μB).
Fractional coordinates of all 4 atoms:
Mo1 0.000 0.000 0.000  -0.05
Mo2 0.500 0.500 0.000  0.49
K1 0.000 0.500 0.500  0.04
Al1 0.500 0.000 0.500  0.00

space-group type	Pmmm (47)
calculated total energy	-5.4328	eV per atom

***

(8)
# LiCrTc2

LiCrTc2 after structural relaxation (PBE, the Alexandria database).

Cell lengths 4.566, 4.566, 4.858 Å; angles 88.22, 88.22, 32.05 degrees
Each line ends with the local moment (μB).
Fractional coordinates of all 4 atoms:
Cr1 0.502 0.502 0.492  0.57
Li1 0.250 0.250 0.250  0.00
Tc1 0.997 0.997 0.014  0.04
Tc2 0.751 0.751 0.743  -0.02

distance to the lowest polymorph of the same formula	174	meV per atom
space-group type	Cm (8)

***

(9)
# CaSiTc

CaSiTc after structural relaxation (PBE, the Alexandria database).

Cell lengths 7.392, 6.304, 5.188 Å; angles 90.00, 90.00, 90.00 degrees
Fractional coordinates of all 12 atoms:
Ca1 0.250 0.250 0.000
Ca2 0.250 0.750 0.000
Ca3 0.750 0.250 0.000
Ca4 0.750 0.750 0.000
Si1 0.000 0.190 0.500
Si2 0.000 0.810 0.500
Si3 0.500 0.690 0.500
Si4 0.500 0.310 0.500
Tc1 0.706 0.000 0.500
Tc2 0.294 0.000 0.500
Tc3 0.206 0.500 0.500
Tc4 0.794 0.500 0.500

E_form (uncorrected)	-0.210	eV/atom
distance to the lowest polymorph of the same formula	186	meV per atom
space-group type	Cmmm (65)

***

(10)
# W2AuSe

W2AuSe after structural relaxation (PBE, the Alexandria database).

Cell lengths 5.412, 5.220, 2.909 Å; angles 80.90, 76.56, 116.98 degrees
Fractional coordinates of all 4 atoms:
Au1 0.000 0.500 0.500
Se1 0.500 0.500 0.000
W1 0.000 0.000 0.000
W2 0.500 0.000 0.500

E_form (uncorrected)	0.783	eV/atom
space-group type	C2/m (12)

***

(11)
# Cd3In3Ga

Cd3In3Ga after structural relaxation (PBE, the Alexandria database).

Cell lengths 7.031, 6.984, 7.356 Å; angles 95.80, 95.65, 82.90 degrees
Fractional coordinates of all 14 atoms:
Cd1 0.350 0.366 0.580
Cd2 0.229 0.781 0.467
Cd3 0.771 0.219 0.533
Cd4 0.307 0.693 0.047
Cd5 0.693 0.307 0.953
Cd6 0.650 0.634 0.420
In1 0.046 0.998 0.796
In2 0.457 0.072 0.243
In3 0.037 0.435 0.249
In4 0.543 0.928 0.757
In5 0.963 0.565 0.751
In6 0.954 0.002 0.204
Ga1 0.284 0.293 0.944
Ga2 0.716 0.707 0.056

distance to the lowest polymorph of the same formula	0	meV per atom
space-group type	P-1 (2)

***

(12)
# MgAsSe

MgAsSe after structural relaxation (PBE, the Alexandria database).

Cell lengths 4.583, 4.583, 4.583 Å; angles 60.00, 60.00, 60.00 degrees
Fractional coordinates of all 3 atoms:
As1 0.500 0.500 0.500
Mg1 0.750 0.750 0.750
Se1 0.000 0.000 0.000

E_form (uncorrected)	-0.164	eV/atom
distance to the lowest polymorph of the same formula	167	meV per atom
space-group type	F-43m (216)

***

Please write out number 11 again, unchanged.
# Cd3In3Ga

Cd3In3Ga after structural relaxation (PBE, the Alexandria database).

Cell lengths 7.031, 6.984, 7.356 Å; angles 95.80, 95.65, 82.90 degrees
Fractional coordinates of all 14 atoms:
Cd1 0.350 0.366 0.580
Cd2 0.229 0.781 0.467
Cd3 0.771 0.219 0.533
Cd4 0.307 0.693 0.047
Cd5 0.693 0.307 0.953
Cd6 0.650 0.634 0.420
In1 0.046 0.998 0.796
In2 0.457 0.072 0.243
In3 0.037 0.435 0.249
In4 0.543 0.928 0.757
In5 0.963 0.565 0.751
In6 0.954 0.002 0.204
Ga1 0.284 0.293 0.944
Ga2 0.716 0.707 0.056

distance to the lowest polymorph of the same formula	0	meV per atom
space-group type	P-1 (2)

***

Q: Which formula does entry 9 have?
A: CaSiTc